(1)
The following is a DFT calculation (PBE-GGA) of a relaxed structure of AcTiSb2O8.

Computed properties:
- density (kg/m³) = 6386
- space group = No. 65
- E_form (uncorrected) (kJ per mole of atoms) = -202.2
- Fermi-level density of states (states/eV per atom) = 0.109
- E (eV/atom) = -7.09

Cell: 4.988 4.987 6.773 Å, 90.00 90.00 86.06°
Sites, in units of the cell vectors:
O 0.801 0.200 0.205
O 0.801 0.200 0.795
Ti 0.000 0.000 0.000
O 0.336 0.334 0.500
O 0.307 0.306 0.000
O 0.664 0.666 0.500
O 0.199 0.800 0.205
Sb 0.500 0.500 0.234
Ac 0.000 0.000 0.500
Sb 0.500 0.500 0.766
O 0.693 0.694 0.000
O 0.199 0.800 0.795



(2)
The following is a DFT calculation (PBE-GGA) of a relaxed structure of AcTiSbO5.

Computed properties:
- density (kg/m³) = 6267
- space group = No. 15
- E_form (uncorrected) (kJ per mole of atoms) = -242.3
- E (eV/atom) = -7.63

Cell: 6.005 6.005 8.358 Å, 109.73 109.73 100.03°
Sites, in units of the cell vectors:
Ac 0.688 0.312 0.750
Ti 0.000 0.000 0.000
O 0.699 0.111 0.447
O 0.889 0.301 0.053
O 0.301 0.889 0.553
O 0.020 0.980 0.250
Ac 0.312 0.688 0.250
O 0.111 0.699 0.947
O 0.980 0.020 0.750
Ti 0.000 0.000 0.500
Sb 0.715 0.285 0.250
O 0.346 0.238 0.129
O 0.762 0.654 0.371
O 0.238 0.346 0.629
O 0.654 0.762 0.871
Sb 0.285 0.715 0.750



(3)
The following is a DFT calculation (PBE-GGA) of a relaxed structure of Ac2TiSb2O2.

Computed properties:
- density (kg/m³) = 8260
- space group = No. 139
- E_form (uncorrected) (kJ per mole of atoms) = -175.9
- Fermi-level density of states (states/eV per atom) = 0.444
- E (eV/atom) = -6.72

Cell: 4.336 4.336 8.859 Å, 104.17 104.17 90.00°
Sites, in units of the cell vectors:
Ac 0.610 0.610 0.221
Ti 0.000 0.000 0.000
Sb 0.820 0.820 0.640
Sb 0.180 0.180 0.360
Ac 0.390 0.390 0.779
O 0.000 0.500 0.000
O 0.500 0.000 0.000



(4)
The following is a DFT calculation (PBE-GGA) of a relaxed structure of AcTl2Sb2O7.

Computed properties:
- density (kg/m³) = 8301
- space group = No. 12
- E_form (uncorrected) (kJ per mole of atoms) = -157.6
- Fermi-level density of states (states/eV per atom) = 0.157
- E (eV/atom) = -5.95

Cell: 4.130 4.130 11.815 Å, 82.72 82.72 89.67°
Sites, in units of the cell vectors:
Sb 0.430 0.430 0.189
O 0.619 0.619 0.644
O 0.556 0.056 0.843
Tl 0.198 0.198 0.597
Sb 0.570 0.570 0.811
O 0.056 0.556 0.843
O 0.381 0.381 0.356
O 0.944 0.444 0.157
O 0.444 0.944 0.157
O 0.500 0.500 0.000
Tl 0.802 0.802 0.403
Ac 0.000 0.000 0.000



(5)
The following is a DFT calculation (PBE-GGA) of a relaxed structure of AcTl2SbO4.

Computed properties:
- density (kg/m³) = 7710
- space group = No. 1
- E_form (uncorrected) (kJ per mole of atoms) = -159.3
- E (eV/atom) = -5.75

Cell: 8.111 8.119 7.648 Å, 121.97 121.89 83.04°
Sites, in units of the cell vectors:
Ac 0.965 0.489 0.969
Sb 0.449 0.491 0.511
O 0.846 0.302 0.534
O 0.656 0.644 0.874
Ac 0.011 0.533 0.531
Tl 0.571 0.081 0.074
Tl 0.416 0.930 0.425
Tl 0.007 0.013 0.502
O 0.290 0.352 0.544
O 0.846 0.257 0.052
O 0.197 0.653 0.966
Sb 0.011 0.051 0.989
Tl 0.487 0.494 0.999
O 0.859 0.844 0.626
O 0.149 0.211 0.956
O 0.241 0.654 0.448



(6)
The following is a DFT calculation (PBE-GGA) of a relaxed structure of Ac3Tl3SbO8.

Computed properties:
- density (kg/m³) = 7984
- space group = No. 166
- E_form (uncorrected) (kJ per mole of atoms) = -190.4
- Fermi-level density of states (states/eV per atom) = 0.139
- E (eV/atom) = -6.19

Cell: 7.521 7.523 7.861 Å, 118.58 89.98 120.01°
Sites, in units of the cell vectors:
Ac 0.500 0.000 0.500
O 0.200 0.401 0.668
O 0.200 0.968 0.668
O 0.727 0.454 0.681
Ac 0.000 0.500 0.500
Tl 0.500 0.500 0.000
Tl 0.000 0.000 0.000
O 0.800 0.599 0.332
O 0.768 0.968 0.668
Ac 0.500 0.500 0.500
O 0.232 0.032 0.332
O 0.800 0.032 0.332
O 0.273 0.546 0.319
Tl 0.000 0.500 0.000
Sb 0.000 0.000 0.500



(7)
The following is a DFT calculation (PBE-GGA) of a relaxed structure of Ac2TlSbO8.

Computed properties:
- density (kg/m³) = 7774
- space group = No. 2
- E_form (uncorrected) (kJ per mole of atoms) = -180.5
- E (eV/atom) = -6.40

Cell: 4.651 5.387 7.762 Å, 87.30 86.86 89.38°
Sites, in units of the cell vectors:
O 0.104 0.843 0.775
O 0.678 0.720 0.502
Ac 0.568 0.510 0.243
Sb 0.000 0.000 0.000
O 0.322 0.280 0.498
O 0.082 0.686 0.133
O 0.584 0.885 0.984
O 0.416 0.115 0.016
O 0.918 0.314 0.867
Ac 0.432 0.490 0.757
O 0.896 0.157 0.225
Tl 0.000 0.000 0.500



(8)
The following is a DFT calculation (PBE-GGA) of a relaxed structure of Ac2Tl2SbO6.

Computed properties:
- density (kg/m³) = 7733
- space group = No. 12
- E_form (uncorrected) (kJ per mole of atoms) = -182.1
- Fermi-level density of states (states/eV per atom) = 0.444
- E (eV/atom) = -6.14

Cell: 6.401 6.401 6.743 Å, 98.00 98.00 119.13°
Sites, in units of the cell vectors:
Sb 0.000 0.000 0.500
O 0.953 0.657 0.337
Tl 0.843 0.157 0.000
Tl 0.157 0.843 0.000
O 0.657 0.953 0.337
O 0.773 0.773 0.687
O 0.343 0.047 0.663
Ac 0.665 0.335 0.500
O 0.227 0.227 0.313
Ac 0.335 0.665 0.500
O 0.047 0.343 0.663